Entry 1:
Material: NaZrSn2Cl
Method: DFT, PBE
State: optimized geometry

## Properties
Final energy (hartree per atom): -0.12790
Total magnetization (μB per formula unit): 0.00

Cell: 5.445 5.445 4.628 Å, 90.00 90.00 90.00°
Space group P4/mmm (No. 123)
Inequivalent atoms, fractional coordinates:
Na1 0.000 0.000 0.000 x1
Zr1 0.500 0.500 0.500 x1
Sn1 0.000 0.500 0.000 x2
Cl1 0.000 0.000 0.500 x1

Entry 2:
Material: NaSrCl
Method: DFT, PBE
State: optimized geometry

## Properties
Energy above the lowest structure with this stoichiometry (meV per atom): 0
Total magnetization (μB per formula unit): 0.00

Cell: 4.837 4.837 10.095 Å, 90.00 90.00 90.00°
Space group P4/nmm (No. 129, origin choice 2)
Inequivalent atoms, fractional coordinates:
Na1 0.250 0.250 0.072 x2
Sr1 0.250 0.250 0.672 x2
Cl1 0.250 0.750 0.500 x2

Entry 3:
Material: NaSrCl3
Method: DFT, PBE
State: optimized geometry

## Properties
Energy above the lowest structure with this stoichiometry (meV per atom): 0
Total magnetization (μB per formula unit): 0.00

Cell: 7.547 3.856 7.558 Å, 90.00 119.91 90.00°
Space group Pm (No. 6)
Inequivalent atoms, fractional coordinates:
Na1 0.000 0.000 0.000 x1
Sr1 0.667 0.000 0.334 x1
Cl1 0.333 0.500 0.170 x1
Cl2 0.831 0.500 0.165 x1
Cl3 0.836 0.500 0.668 x1